The following is a DFT calculation (PBE-GGA) of a relaxed structure of PaSnAs2Rh5.

a = 4.1138 Å, b = 4.1138 Å, c = 8.9008 Å
α = 90.00°, β = 90.00°, γ = 90.00°
Each line ends with the local moment (μB).
Sites, in units of the cell vectors:
Pa 0.0000 0.0000 0.0000  0.29
Rh 0.0000 0.5000 0.7226  0.00
Rh 0.0000 0.5000 0.2774  0.00
Rh 0.5000 0.0000 0.7226  0.00
Rh 0.5000 0.5000 0.5000  0.00
Rh 0.5000 0.0000 0.2774  0.00
As 0.5000 0.5000 0.1366  0.00
As 0.5000 0.5000 0.8634  0.00
Sn 0.0000 0.0000 0.5000  0.00

Values from the calculation:
M_tot = 0.036 μB/atom
SG = P4/mmm, No. 123
ΔH_f (0 K) = -0.571 eV per atom

=====

The following is a DFT calculation (PBE-GGA) of a relaxed structure of CeSm2Te4.

a = 4.3756 Å, b = 7.6207 Å, c = 15.1876 Å
α = 90.00°, β = 90.00°, γ = 106.68°
Each line ends with the local moment (μB).
Sites, in units of the cell vectors:
Te 0.5000 0.0000 0.0000  0.00
Te 0.5000 0.0000 0.5000  0.00
Te 0.7760 0.5521 0.3765  -0.01
Te 0.2240 0.4479 0.8765  -0.01
Te 0.9607 0.9214 0.7500  -0.01
Te 0.2240 0.4479 0.6235  -0.01
Te 0.7760 0.5521 0.1235  -0.01
Te 0.0393 0.0786 0.2500  -0.01
Sm 0.8677 0.7354 0.9336  0.02
Sm 0.1323 0.2646 0.4336  0.02
Sm 0.1323 0.2646 0.0664  0.02
Sm 0.8677 0.7354 0.5664  0.02
Ce 0.6216 0.2433 0.7500  1.12
Ce 0.3784 0.7567 0.2500  1.12

Values from the calculation:
Uncorrected formation energy = -1392 meV/atom
M_tot = 0.190 μB/atom
E above lowest polymorph = 0.000 eV per atom
SG = Cmcm, No. 63

=====

The following is a DFT calculation (PBE-GGA) of a relaxed structure of Pa2BPt.

a = 3.2994 Å, b = 3.2994 Å, c = 8.7856 Å
α = 79.18°, β = 79.18°, γ = 60.00°
Sites, in units of the cell vectors:
B 0.5000 0.5000 0.5000
Pt 0.0000 0.0000 0.0000
Pa 0.1057 0.1057 0.6829
Pa 0.8943 0.8943 0.3171

Values from the calculation:
M_tot = 0.000 μB/atom
SG = R-3m, No. 166
ΔH_f (0 K) = 0.022 eV per atom

=====

The following is a DFT calculation (PBE-GGA) of a relaxed structure of DyNpPtRh.

a = 4.8923 Å, b = 4.8923 Å, c = 4.8923 Å
α = 60.00°, β = 60.00°, γ = 60.00°
Each line ends with the local moment (μB).
Sites, in units of the cell vectors:
Rh 0.2500 0.2500 0.2500  -0.17
Np 0.5000 0.5000 0.5000  3.81
Dy 0.0000 0.0000 0.0000  0.20
Pt 0.7500 0.7500 0.7500  -0.06

Values from the calculation:
M_tot = 1.024 μB/atom
SG = F-43m, No. 216
ΔH_f (0 K) = -0.625 eV per atom

=====

The following is a DFT calculation (PBE-GGA) of a relaxed structure of IrPt3Br.

a = 4.6387 Å, b = 4.6387 Å, c = 4.6387 Å
α = 90.00°, β = 90.00°, γ = 90.00°
Sites, in units of the cell vectors:
Pt 0.5000 0.0000 0.0000
Pt 0.0000 0.5000 0.0000
Pt 0.0000 0.0000 0.5000
Br 0.0000 0.0000 0.0000
Ir 0.5000 0.5000 0.5000

Values from the calculation:
Uncorrected formation energy = 1666 meV/atom
M_tot = 0.000 μB/atom
E above lowest polymorph = 0.328 eV per atom
SG = Pm-3m, No. 221

=====

The following is a DFT calculation (PBE-GGA) of a relaxed structure of Ti3GaFe4.

a = 2.9518 Å, b = 2.9518 Å, c = 11.5975 Å
α = 90.00°, β = 90.00°, γ = 90.00°
Sites, in units of the cell vectors:
Fe 0.0000 0.0000 0.8764
Fe 0.0000 0.0000 0.3744
Fe 0.0000 0.0000 0.6256
Fe 0.0000 0.0000 0.1236
Ga 0.5000 0.5000 0.0000
Ti 0.5000 0.5000 0.5000
Ti 0.5000 0.5000 0.2431
Ti 0.5000 0.5000 0.7569

Values from the calculation:
M_tot = 0.000 μB/atom
SG = P4/mmm, No. 123
ΔH_f (0 K) = -0.361 eV per atom

=====

The following is a DFT calculation (PBE-GGA) of a relaxed structure of Pm4Mg2Ru.

a = 5.3992 Å, b = 5.3992 Å, c = 8.9662 Å
α = 107.52°, β = 107.52°, γ = 90.00°
Sites, in units of the cell vectors:
Mg 0.6278 0.6278 0.2556
Mg 0.3722 0.3722 0.7444
Ru 0.0000 0.0000 0.0000
Pm 0.5000 0.0000 0.0000
Pm 0.8286 0.8286 0.6572
Pm 0.1714 0.1714 0.3428
Pm 0.0000 0.5000 0.0000

Values from the calculation:
M_tot = 0.000 μB/atom
SG = I4/mmm, No. 139
ΔH_f (0 K) = 0.093 eV per atom

=====

The following is a DFT calculation (PBE-GGA) of a relaxed structure of Mg2Sb.

a = 5.4898 Å, b = 5.4898 Å, c = 5.4898 Å
α = 141.68°, β = 134.98°, γ = 60.56°
Sites, in units of the cell vectors:
Mg 0.6626 0.6626 0.0000
Mg 0.3374 0.3374 0.0000
Sb 0.0000 0.0000 0.0000

Values from the calculation:
Uncorrected formation energy = -107 meV/atom
M_tot = 0.000 μB/atom
SG = Immm, No. 71

=====

The following is a DFT calculation (PBE-GGA) of a relaxed structure of VSiB.

a = 2.8090 Å, b = 2.8090 Å, c = 4.4609 Å
α = 108.35°, β = 108.35°, γ = 90.00°
Sites, in units of the cell vectors:
Si 0.9298 0.9298 0.8596
V 0.6295 0.6295 0.2590
B 0.2907 0.2907 0.5814

Values from the calculation:
Uncorrected formation energy = 67 meV/atom
M_tot = 0.001 μB/atom
E above lowest polymorph = 0.410 eV per atom
SG = I4mm, No. 107

=====

The following is a DFT calculation (PBE-GGA) of a relaxed structure of Ce2YMo2C4.

a = 3.4683 Å, b = 7.1875 Å, c = 6.0309 Å
α = 106.21°, β = 90.00°, γ = 103.96°
Sites, in units of the cell vectors:
C 0.7736 0.5472 0.7809
C 0.5487 0.0974 0.7558
C 0.4513 0.9026 0.2442
C 0.2264 0.4528 0.2191
Mo 0.6783 0.3567 0.0107
Mo 0.3217 0.6433 0.9893
Ce 0.1294 0.2588 0.5299
Ce 0.8706 0.7412 0.4701
Y 0.0000 0.0000 0.0000

Values from the calculation:
M_tot = 0.000 μB/atom
SG = C2/m, No. 12
ΔH_f (0 K) = -0.057 eV per atom

=====

The following is a DFT calculation (PBE-GGA) of a relaxed structure of ZnTc2Cl.

a = 8.6685 Å, b = 8.6685 Å, c = 8.6685 Å
α = 19.24°, β = 19.24°, γ = 19.24°
Sites, in units of the cell vectors:
Cl 0.7438 0.7438 0.7438
Zn 0.5029 0.5029 0.5029
Tc 0.9996 0.9996 0.9996
Tc 0.2537 0.2537 0.2537

Values from the calculation:
Uncorrected formation energy = 78 meV/atom
M_tot = 0.000 μB/atom
E above lowest polymorph = 0.121 eV per atom
SG = R3m, No. 160

=====

The following is a DFT calculation (PBE-GGA) of a relaxed structure of ZrPa4Tc5.

a = 3.4006 Å, b = 3.4006 Å, c = 17.1743 Å
α = 90.00°, β = 90.00°, γ = 90.00°
Sites, in units of the cell vectors:
Tc 0.5000 0.5000 0.2904
Tc 0.5000 0.5000 0.0979
Tc 0.5000 0.5000 0.5000
Tc 0.5000 0.5000 0.7096
Tc 0.5000 0.5000 0.9021
Pa 0.0000 0.0000 0.6021
Pa 0.0000 0.0000 0.3979
Pa 0.0000 0.0000 0.1937
Pa 0.0000 0.0000 0.8063
Zr 0.0000 0.0000 0.0000

Values from the calculation:
M_tot = 0.000 μB/atom
SG = P4/mmm, No. 123
ΔH_f (0 K) = -0.212 eV per atom

=====

Which value of M_tot does entry 7 give? 0.000 μB/atom